This record from Alexandria via LeMat-Bulk describes BeHg2Os after structural relaxation. The functional is GGA-PBE.

Values from the calculation:
The calculation puts the formation energy at 3.0 eV/f.u. For the volume, the calculation gives 65.7 Å³/cell. The space group is P4/mmm, No. 123. Its total energy is -3.129 eV/atom. The value obtained for the density of states at the Fermi level is 0.5682 states/eV/atom.

Lattice parameters (Å, degrees): 4.0194 4.0210 4.0680 90.00 90.00 90.00
Fractional positions:
Hg 0.5000 0.5000 0.0000
Hg 0.0000 0.0000 0.0000
Be 0.0000 0.5000 0.5000
Os 0.5000 0.0000 0.5000